No. 1
# CaCuSiNi, optimized geometry, DFT PBE
# **E_form (uncorrected)**: -0.43 eV/atom
# **Crystal system**: monoclinic
data_CaCuSiNi
_chemical_formula_sum 'Ca2 Cu2 Si2 Ni2'
_cell_length_a 6.999
_cell_length_b 4.054
_cell_length_c 5.508
_cell_angle_alpha 90.00
_cell_angle_beta 115.14
_cell_angle_gamma 90.00
_symmetry_space_group_name_H-M 'C 1 m 1'
_symmetry_Int_Tables_number 8
loop_
_symmetry_equiv_pos_as_xyz
'x,y,z'
'x,-y,z'
'x+1/2,y+1/2,z'
'x+1/2,-y+1/2,z'
loop_
_atom_site_label
_atom_site_type_symbol
_atom_site_fract_x
_atom_site_fract_y
_atom_site_fract_z
_atom_site_occupancy
Ca1 Ca 0.000 0.000 0.000 1
Cu1 Cu 0.306 0.500 0.419 1
Si1 Si 0.013 0.500 0.541 1
Ni1 Ni 0.192 0.000 0.576 1

No. 2
# MoHN3, optimized geometry, DFT PBE
# **Crystal system**: cubic
# **Uncorrected energy**: -6.49 eV per atom
data_MoHN3
_chemical_formula_sum 'Mo1 H1 N3'
_cell_length_a 3.978
_cell_length_b 3.978
_cell_length_c 3.978
_cell_angle_alpha 90.00
_cell_angle_beta 90.00
_cell_angle_gamma 90.00
_symmetry_space_group_name_H-M 'P m -3 m'
_symmetry_Int_Tables_number 221
_symmetry_space_group_name_Hall '-P 4 2 3'
loop_
_atom_site_label
_atom_site_type_symbol
_atom_site_fract_x
_atom_site_fract_y
_atom_site_fract_z
_atom_site_occupancy
Mo1 Mo 0.000 0.000 0.000 1
H1 H 0.500 0.500 0.500 1
N1 N 0.000 0.000 0.500 1

No. 3
# LaIr2Se, optimized geometry, DFT PBE
# **E_form (uncorrected)**: -0.39 eV/atom
# **Crystal system**: orthorhombic
# **Polymorph energy (0 for the lowest one)**: 167.5 meV per atom
data_LaIr2Se
_chemical_formula_sum 'La1 Ir2 Se1'
_cell_length_a 4.176
_cell_length_b 4.216
_cell_length_c 5.224
_cell_angle_alpha 90.00
_cell_angle_beta 90.00
_cell_angle_gamma 90.00
_symmetry_space_group_name_H-M 'P m m m'
_symmetry_Int_Tables_number 47
loop_
_symmetry_equiv_pos_as_xyz
'x,y,z'
'-x,-y,-z'
'-x,-y,z'
'x,y,-z'
'x,-y,-z'
'-x,y,z'
'-x,y,-z'
'x,-y,z'
loop_
_atom_site_label
_atom_site_type_symbol
_atom_site_fract_x
_atom_site_fract_y
_atom_site_fract_z
_atom_site_occupancy
La1 La 0.000 0.000 0.000 1
Ir1 Ir 0.500 0.500 0.237 1
Se1 Se 0.000 0.500 0.500 1

No. 4
# BaLaRu, optimized geometry, DFT PBE
# **Formation enthalpy at 0 K**: 0.6 eV/f.u.
# **Crystal system**: cubic
# **Polymorph energy (0 for the lowest one)**: 144.6 meV per atom
data_BaLaRu
_chemical_formula_sum 'Ba4 La4 Ru4'
_cell_length_a 7.243
_cell_length_b 7.243
_cell_length_c 7.243
_cell_angle_alpha 90.00
_cell_angle_beta 90.00
_cell_angle_gamma 90.00
_symmetry_space_group_name_H-M 'F -4 3 m'
_symmetry_Int_Tables_number 216
_symmetry_space_group_name_Hall 'F -4 2 3'
loop_
_atom_site_label
_atom_site_type_symbol
_atom_site_fract_x
_atom_site_fract_y
_atom_site_fract_z
_atom_site_occupancy
Ba1 Ba 0.000 0.000 0.000 1
La1 La 0.000 0.000 0.500 1
Ru1 Ru 0.250 0.250 0.750 1

No. 5
# ZrTlS2F, optimized geometry, DFT PBE
# **E_form (uncorrected)**: -1.66 eV/atom
# **Crystal system**: tetragonal
# **Polymorph energy (0 for the lowest one)**: 79.0 meV per atom
data_ZrTlS2F
_chemical_formula_sum 'Zr1 Tl1 S2 F1'
_cell_length_a 5.094
_cell_length_b 5.094
_cell_length_c 4.285
_cell_angle_alpha 90.00
_cell_angle_beta 90.00
_cell_angle_gamma 90.00
_symmetry_space_group_name_H-M 'P 4/m m m'
_symmetry_Int_Tables_number 123
_symmetry_space_group_name_Hall '-P 4 2'
loop_
_atom_site_label
_atom_site_type_symbol
_atom_site_fract_x
_atom_site_fract_y
_atom_site_fract_z
_atom_site_occupancy
Zr1 Zr 0.000 0.000 0.000 1
Tl1 Tl 0.500 0.500 0.500 1
S1 S 0.000 0.500 0.000 1
F1 F 0.000 0.000 0.500 1

No. 6
# Tm2PuMgO8, optimized geometry, DFT PBE
# **E_form (uncorrected)**: -2.72 eV/atom
# **Crystal system**: monoclinic
data_Tm2PuMgO8
_chemical_formula_sum 'Tm2 Pu1 Mg1 O8'
_cell_length_a 4.940
_cell_length_b 6.812
_cell_length_c 4.940
_cell_angle_alpha 90.00
_cell_angle_beta 92.33
_cell_angle_gamma 90.00
_symmetry_space_group_name_H-M 'P 1 2/m 1'
_symmetry_Int_Tables_number 10
loop_
_symmetry_equiv_pos_as_xyz
'x,y,z'
'-x,-y,-z'
'-x,y,-z'
'x,-y,z'
loop_
_atom_site_label
_atom_site_type_symbol
_atom_site_fract_x
_atom_site_fract_y
_atom_site_fract_z
_atom_site_occupancy
Tm1 Tm 0.000 0.236 0.000 1
Pu1 Pu 0.500 0.500 0.500 1
Mg1 Mg 0.500 0.000 0.500 1
O1 O 0.206 0.000 0.207 1
O2 O 0.208 0.500 0.210 1
O3 O 0.317 0.279 0.685 1

No. 7
# Ga6CuPd5, optimized geometry, DFT PBE
# **Formation enthalpy at 0 K**: -5.8 eV/f.u.
# **Crystal system**: monoclinic
data_Ga6CuPd5
_chemical_formula_sum 'Ga12 Cu2 Pd10'
_cell_length_a 4.360
_cell_length_b 13.182
_cell_length_c 6.252
_cell_angle_alpha 90.00
_cell_angle_beta 90.68
_cell_angle_gamma 90.00
_symmetry_space_group_name_H-M 'C 1 2/m 1'
_symmetry_Int_Tables_number 12
loop_
_symmetry_equiv_pos_as_xyz
'x,y,z'
'-x,-y,-z'
'-x,y,-z'
'x,-y,z'
'x+1/2,y+1/2,z'
'-x+1/2,-y+1/2,-z'
'-x+1/2,y+1/2,-z'
'x+1/2,-y+1/2,z'
loop_
_atom_site_label
_atom_site_type_symbol
_atom_site_fract_x
_atom_site_fract_y
_atom_site_fract_z
_atom_site_occupancy
Ga1 Ga 0.000 0.166 0.249 1
Ga2 Ga 0.001 0.500 0.753 1
Cu1 Cu 0.000 0.000 0.000 1
Pd1 Pd 0.000 0.000 0.500 1
Pd2 Pd 0.000 0.333 0.500 1
Pd3 Pd 0.000 0.334 0.000 1

No. 8
# SmHo2Pt, optimized geometry, DFT PBE
# **Formation enthalpy at 0 K**: -2.4 eV/f.u.
# **Crystal system**: tetragonal
# **Polymorph energy (0 for the lowest one)**: 96.9 meV per atom
data_SmHo2Pt
_chemical_formula_sum 'Sm1 Ho2 Pt1'
_cell_length_a 3.556
_cell_length_b 3.556
_cell_length_c 8.540
_cell_angle_alpha 90.00
_cell_angle_beta 90.00
_cell_angle_gamma 90.00
_symmetry_space_group_name_H-M 'P 4/m m m'
_symmetry_Int_Tables_number 123
_symmetry_space_group_name_Hall '-P 4 2'
loop_
_atom_site_label
_atom_site_type_symbol
_atom_site_fract_x
_atom_site_fract_y
_atom_site_fract_z
_atom_site_occupancy
Sm1 Sm 0.000 0.000 0.000 1
Ho1 Ho 0.500 0.500 0.309 1
Pt1 Pt 0.000 0.000 0.500 1

No. 9
# CrAsRu, optimized geometry, DFT PBE
# **Formation enthalpy at 0 K**: 0.2 eV/f.u.
# **Crystal system**: tetragonal
data_CrAsRu
_chemical_formula_sum 'Cr2 As2 Ru2'
_cell_length_a 2.927
_cell_length_b 2.927
_cell_length_c 9.411
_cell_angle_alpha 90.00
_cell_angle_beta 90.00
_cell_angle_gamma 90.00
_symmetry_space_group_name_H-M 'I 4 m m'
_symmetry_Int_Tables_number 107
_symmetry_space_group_name_Hall 'I 4 -2'
loop_
_atom_site_label
_atom_site_type_symbol
_atom_site_fract_x
_atom_site_fract_y
_atom_site_fract_z
_atom_site_occupancy
Cr1 Cr 0.000 0.000 0.000 1
As1 As 0.000 0.000 0.650 1
Ru1 Ru 0.000 0.000 0.322 1

No. 10
# AlOs2Br, optimized geometry, DFT PBE
# **E_form (uncorrected)**: 0.66 eV/atom
# **Crystal system**: orthorhombic
# **Polymorph energy (0 for the lowest one)**: 397.3 meV per atom
data_AlOs2Br
_chemical_formula_sum 'Al2 Os4 Br2'
_cell_length_a 2.875
_cell_length_b 4.357
_cell_length_c 10.489
_cell_angle_alpha 90.00
_cell_angle_beta 90.00
_cell_angle_gamma 90.00
_symmetry_space_group_name_H-M 'I m m m'
_symmetry_Int_Tables_number 71
_symmetry_space_group_name_Hall '-I 2 2'
loop_
_atom_site_label
_atom_site_type_symbol
_atom_site_fract_x
_atom_site_fract_y
_atom_site_fract_z
_atom_site_occupancy
Al1 Al 0.000 0.000 0.000 1
Os1 Os 0.000 0.500 0.291 1
Br1 Br 0.000 0.000 0.500 1

No. 11
# NbAs2HSe, optimized geometry, DFT PBE
# **Crystal system**: tetragonal
# **Polymorph energy (0 for the lowest one)**: 0.0 meV per atom
data_NbAs2HSe
_chemical_formula_sum 'Nb1 As2 H1 Se1'
_cell_length_a 5.083
_cell_length_b 5.083
_cell_length_c 3.670
_cell_angle_alpha 90.00
_cell_angle_beta 90.00
_cell_angle_gamma 90.00
_symmetry_space_group_name_H-M 'P 4/m m m'
_symmetry_Int_Tables_number 123
_symmetry_space_group_name_Hall '-P 4 2'
loop_
_atom_site_label
_atom_site_type_symbol
_atom_site_fract_x
_atom_site_fract_y
_atom_site_fract_z
_atom_site_occupancy
Nb1 Nb 0.000 0.000 0.000 1
As1 As 0.000 0.500 0.000 1
H1 H 0.000 0.000 0.500 1
Se1 Se 0.500 0.500 0.500 1

No. 12
# Pu2ZnCrN5, optimized geometry, DFT PBE
# **E_form (uncorrected)**: -0.57 eV/atom
# **Crystal system**: orthorhombic
data_Pu2ZnCrN5
_chemical_formula_sum 'Pu8 Zn4 Cr4 N20'
_cell_length_a 3.210
_cell_length_b 13.728
_cell_length_c 9.272
_cell_angle_alpha 90.00
_cell_angle_beta 90.00
_cell_angle_gamma 90.00
_symmetry_space_group_name_H-M 'C m c 21'
_symmetry_Int_Tables_number 36
loop_
_symmetry_equiv_pos_as_xyz
'x,y,z'
'-x,-y,z+1/2'
'-x,y,z'
'x,-y,z+1/2'
'x+1/2,y+1/2,z'
'-x+1/2,-y+1/2,z+1/2'
'-x+1/2,y+1/2,z'
'x+1/2,-y+1/2,z+1/2'
loop_
_atom_site_label
_atom_site_type_symbol
_atom_site_fract_x
_atom_site_fract_y
_atom_site_fract_z
_atom_site_occupancy
Pu1 Pu 0.000 0.129 0.000 1
Pu2 Pu 0.000 0.130 0.572 1
Zn1 Zn 0.000 0.489 0.779 1
Cr1 Cr 0.000 0.223 0.287 1
N1 N 0.000 0.088 0.305 1
N2 N 0.000 0.284 0.934 1
N3 N 0.000 0.288 0.646 1
N4 N 0.000 0.363 0.290 1
N5 N 0.000 0.499 0.545 1

No. 13
# Sm2Bi2S7, optimized geometry, DFT PBE
# **E_form (uncorrected)**: -0.92 eV/atom
# **Crystal system**: orthorhombic
data_Sm2Bi2S7
_chemical_formula_sum 'Sm4 Bi4 S14'
_cell_length_a 4.057
_cell_length_b 13.647
_cell_length_c 9.161
_cell_angle_alpha 90.00
_cell_angle_beta 90.00
_cell_angle_gamma 90.00
_symmetry_space_group_name_H-M 'I m m 2'
_symmetry_Int_Tables_number 44
loop_
_symmetry_equiv_pos_as_xyz
'x,y,z'
'-x,-y,z'
'-x,y,z'
'x,-y,z'
'x+1/2,y+1/2,z+1/2'
'-x+1/2,-y+1/2,z+1/2'
'-x+1/2,y+1/2,z+1/2'
'x+1/2,-y+1/2,z+1/2'
loop_
_atom_site_label
_atom_site_type_symbol
_atom_site_fract_x
_atom_site_fract_y
_atom_site_fract_z
_atom_site_occupancy
Sm1 Sm 0.000 0.231 0.000 1
Bi1 Bi 0.000 0.000 0.712 1
Bi2 Bi 0.000 0.500 0.766 1
S1 S 0.000 0.000 0.067 1
S2 S 0.000 0.122 0.474 1
S3 S 0.000 0.304 0.707 1
S4 S 0.000 0.360 0.291 1

No. 14
# MgZnRe2F, optimized geometry, DFT PBE
# **E_form (uncorrected)**: 1.36 eV/atom
# **Crystal system**: tetragonal
data_MgZnRe2F
_chemical_formula_sum 'Mg1 Zn1 Re2 F1'
_cell_length_a 4.909
_cell_length_b 4.909
_cell_length_c 3.841
_cell_angle_alpha 90.00
_cell_angle_beta 90.00
_cell_angle_gamma 90.00
_symmetry_space_group_name_H-M 'P 4/m m m'
_symmetry_Int_Tables_number 123
_symmetry_space_group_name_Hall '-P 4 2'
loop_
_atom_site_label
_atom_site_type_symbol
_atom_site_fract_x
_atom_site_fract_y
_atom_site_fract_z
_atom_site_occupancy
Mg1 Mg 0.000 0.000 0.000 1
Zn1 Zn 0.500 0.500 0.500 1
Re1 Re 0.000 0.500 0.500 1
F1 F 0.500 0.500 0.000 1

No. 15
# GaAs2SeBr, optimized geometry, DFT PBE
# **E_form (uncorrected)**: 0.59 eV/atom
# **Crystal system**: tetragonal
# **Polymorph energy (0 for the lowest one)**: 2.0 meV per atom
data_GaAs2SeBr
_chemical_formula_sum 'Ga1 As2 Se1 Br1'
_cell_length_a 5.085
_cell_length_b 5.085
_cell_length_c 5.620
_cell_angle_alpha 90.00
_cell_angle_beta 90.00
_cell_angle_gamma 90.00
_symmetry_space_group_name_H-M 'P 4/m m m'
_symmetry_Int_Tables_number 123
_symmetry_space_group_name_Hall '-P 4 2'
loop_
_atom_site_label
_atom_site_type_symbol
_atom_site_fract_x
_atom_site_fract_y
_atom_site_fract_z
_atom_site_occupancy
Ga1 Ga 0.000 0.000 0.000 1
As1 As 0.000 0.500 0.500 1
Se1 Se 0.500 0.500 0.500 1
Br1 Br 0.500 0.500 0.000 1

No. 16
# SrCoBi2Cl, optimized geometry, DFT PBE
# **E_form (uncorrected)**: -0.28 eV/atom
# **Crystal system**: tetragonal
data_SrCoBi2Cl
_chemical_formula_sum 'Sr1 Co1 Bi2 Cl1'
_cell_length_a 5.000
_cell_length_b 5.000
_cell_length_c 5.985
_cell_angle_alpha 90.00
_cell_angle_beta 90.00
_cell_angle_gamma 90.00
_symmetry_space_group_name_H-M 'P 4/m m m'
_symmetry_Int_Tables_number 123
_symmetry_space_group_name_Hall '-P 4 2'
loop_
_atom_site_label
_atom_site_type_symbol
_atom_site_fract_x
_atom_site_fract_y
_atom_site_fract_z
_atom_site_occupancy
Sr1 Sr 0.000 0.000 0.000 1
Co1 Co 0.500 0.500 0.500 1
Bi1 Bi 0.000 0.500 0.500 1
Cl1 Cl 0.500 0.500 0.000 1

No. 17
# La4GeBr2, optimized geometry, DFT PBE
# **E_form (uncorrected)**: -0.71 eV/atom
# **Crystal system**: tetragonal
data_La4GeBr2
_chemical_formula_sum 'La8 Ge2 Br4'
_cell_length_a 5.834
_cell_length_b 5.834
_cell_length_c 15.015
_cell_angle_alpha 90.00
_cell_angle_beta 90.00
_cell_angle_gamma 90.00
_symmetry_space_group_name_H-M 'I 4/m m m'
_symmetry_Int_Tables_number 139
_symmetry_space_group_name_Hall '-I 4 2'
loop_
_atom_site_label
_atom_site_type_symbol
_atom_site_fract_x
_atom_site_fract_y
_atom_site_fract_z
_atom_site_occupancy
La1 La 0.000 0.000 0.198 1
La2 La 0.000 0.500 0.000 1
Ge1 Ge 0.000 0.000 0.000 1
Br1 Br 0.000 0.000 0.396 1

No. 18
# Mg2Sc2P, optimized geometry, DFT PBE
# **Formation enthalpy at 0 K**: -0.7 eV/f.u.
# **Crystal system**: tetragonal
# **Polymorph energy (0 for the lowest one)**: 185.7 meV per atom
data_Mg2Sc2P
_chemical_formula_sum 'Mg4 Sc4 P2'
_cell_length_a 6.751
_cell_length_b 6.751
_cell_length_c 4.660
_cell_angle_alpha 90.00
_cell_angle_beta 90.00
_cell_angle_gamma 90.00
_symmetry_space_group_name_H-M 'P 4/m b m'
_symmetry_Int_Tables_number 127
_symmetry_space_group_name_Hall '-P 4 2ab'
loop_
_atom_site_label
_atom_site_type_symbol
_atom_site_fract_x
_atom_site_fract_y
_atom_site_fract_z
_atom_site_occupancy
Mg1 Mg 0.144 0.356 0.000 1
Sc1 Sc 0.160 0.660 0.500 1
P1 P 0.000 0.000 0.000 1

No. 19
# LaBrNF2, optimized geometry, DFT PBE
# **E_form (uncorrected)**: -0.61 eV/atom
# **Crystal system**: tetragonal
# **Polymorph energy (0 for the lowest one)**: 976.6 meV per atom
data_LaBrNF2
_chemical_formula_sum 'La1 Br1 N1 F2'
_cell_length_a 4.512
_cell_length_b 4.512
_cell_length_c 4.269
_cell_angle_alpha 90.00
_cell_angle_beta 90.00
_cell_angle_gamma 90.00
_symmetry_space_group_name_H-M 'P 4/m m m'
_symmetry_Int_Tables_number 123
_symmetry_space_group_name_Hall '-P 4 2'
loop_
_atom_site_label
_atom_site_type_symbol
_atom_site_fract_x
_atom_site_fract_y
_atom_site_fract_z
_atom_site_occupancy
La1 La 0.000 0.000 0.000 1
Br1 Br 0.500 0.500 0.500 1
N1 N 0.500 0.500 0.000 1
F1 F 0.000 0.500 0.500 1

No. 20
# HfCo2HRh, optimized geometry, DFT PBE
# **Crystal system**: tetragonal
# **Polymorph energy (0 for the lowest one)**: 0.0 meV per atom
data_HfCo2HRh
_chemical_formula_sum 'Hf1 Co2 H1 Rh1'
_cell_length_a 3.813
_cell_length_b 3.813
_cell_length_c 3.857
_cell_angle_alpha 90.00
_cell_angle_beta 90.00
_cell_angle_gamma 90.00
_symmetry_space_group_name_H-M 'P 4/m m m'
_symmetry_Int_Tables_number 123
_symmetry_space_group_name_Hall '-P 4 2'
loop_
_atom_site_label
_atom_site_type_symbol
_atom_site_fract_x
_atom_site_fract_y
_atom_site_fract_z
_atom_site_occupancy
Hf1 Hf 0.000 0.000 0.000 1
Co1 Co 0.000 0.500 0.500 1
H1 H 0.500 0.500 0.500 1
Rh1 Rh 0.500 0.500 0.000 1

no.,N(E_F) (states/eV/f.u.),volume (Å³/atom)
1,1.8,17.69
2,0.0,12.59
3,4.2,23.00
4,2.7,31.66
5,0.1,22.24
6,7.7,13.84
7,3.5,14.97
8,4.9,27.00
9,2.5,13.43
10,2.9,16.42
11,4.5,18.96
12,10.4,11.35
13,8.5,23.05
14,5.3,18.51
15,3.6,29.07
16,2.6,29.93
17,8.4,36.51
18,2.4,21.24
19,2.5,17.38
20,2.6,11.21